1.
Density functional theory data (PBE) for an optimized crystal structure of PaAl3C.

It has space group Pm-3m (No. 221), with a = 4.362 Å, b = 4.362 Å, c = 4.362 Å, α = 90.00°, β = 90.00° and γ = 90.00°. The asymmetric unit holds Pa at (0.000, 0.000, 0.000), Al at (0.000, 0.500, 0.500) and C at (0.500, 0.500, 0.500).

For the mass density, the calculation gives 6.48 Mg/m³.


2.
Density functional theory data (PBE) for an optimized crystal structure of CsHgIrSe3.

It has space group Cmcm (No. 63), with a = 3.953 Å, b = 16.722 Å, c = 10.616 Å, α = 90.00°, β = 90.00° and γ = 90.00°. The asymmetric unit holds Cs at (0.000, 0.228, 0.250), Hg at (0.000, 0.084, 0.750), Ir at (0.000, 0.500, 0.000), Se at (0.000, 0.096, 0.510) and Se at (0.000, 0.458, 0.750).

For the mass density, the calculation gives 7.22 Mg/m³.


| no. | VASP energy (eV per atom) | magnetization (μB/atom) |
| --- | --- | --- |
| 1 | -5.5427 | 0.004 |
| 2 | -3.7363 | 0.001 |